Run 1
# Pm6In3Ir

A relaxed Pm6In3Ir crystal (GGA-PBE, Alexandria).

abc: 8.007 8.007 8.007
angles: 60.00 60.00 60.00
Atoms (fractional coordinates):
Pm 0.759 0.241 0.241
Pm 0.241 0.759 0.759
Pm 0.759 0.759 0.241
Pm 0.241 0.241 0.759
Pm 0.759 0.241 0.759
Pm 0.241 0.759 0.241
In 0.750 0.750 0.750
In 0.500 0.500 0.500
In 0.250 0.250 0.250
Ir 0.000 0.000 0.000

DOS at the Fermi energy	13.89	states/eV/f.u.
space group	Fm-3m (225)
crystal system	cubic

=====

Run 2
# Pm6In3Ir

A relaxed Pm6In3Ir crystal (GGA-PBE, Alexandria).

abc: 5.363 9.455 11.674
angles: 107.47 90.00 90.00
Atoms (fractional coordinates):
In 0.250 0.772 0.975
In 0.250 0.403 0.782
In 0.750 0.228 0.025
In 0.750 0.597 0.218
In 0.750 0.486 0.622
In 0.250 0.514 0.378
Pm 0.750 0.782 0.501
Pm 0.750 0.147 0.672
Pm 0.250 0.218 0.499
Pm 0.750 0.902 0.142
Pm 0.250 0.098 0.858
Pm 0.250 0.853 0.328
Pm 0.250 0.458 0.085
Pm 0.750 0.874 0.850
Pm 0.750 0.313 0.333
Pm 0.250 0.687 0.667
Pm 0.750 0.542 0.915
Pm 0.250 0.126 0.150
Ir 0.250 0.959 0.596
Ir 0.750 0.041 0.404

DOS at the Fermi energy	8.81	states/eV/f.u.
space group	P2_1/m (11)
crystal system	monoclinic

=====

Which structure is the most stable? The one labeled run 2.

=====

Run 1
# Pr2InIr

A relaxed Pr2InIr crystal (GGA-PBE, Alexandria).

abc: 5.283 5.283 5.283
angles: 60.00 60.00 60.00
Atoms (fractional coordinates):
In 0.000 0.000 0.000
Pr 0.250 0.250 0.250
Pr 0.750 0.750 0.750
Ir 0.500 0.500 0.500

DOS at the Fermi energy	3.62	states/eV/f.u.
space group	Fm-3m (225)
crystal system	cubic

=====

Run 2
# Pr2InIr

A relaxed Pr2InIr crystal (GGA-PBE, Alexandria).

abc: 4.108 4.102 8.654
angles: 103.77 89.99 120.12
Atoms (fractional coordinates):
Pr 0.852 0.459 0.354
Pr 0.317 0.390 0.750
Ir 0.584 0.925 0.552
In 0.084 0.925 0.052

DOS at the Fermi energy	2.37	states/eV/f.u.
space group	C2/m (12)
crystal system	monoclinic

=====

Run 3
# Pr2InIr

A relaxed Pr2InIr crystal (GGA-PBE, Alexandria).

abc: 3.654 3.654 7.916
angles: 90.00 90.00 90.00
Atoms (fractional coordinates):
In 0.500 0.500 0.500
Pr 0.000 0.000 0.785
Pr 0.000 0.000 0.215
Ir 0.500 0.500 0.000

DOS at the Fermi energy	2.25	states/eV/f.u.
space group	P4/mmm (123)
crystal system	tetragonal

=====

Run 4
# Pr2InIr

A relaxed Pr2InIr crystal (GGA-PBE, Alexandria).

abc: 4.071 7.502 7.714
angles: 90.00 105.30 90.00
Atoms (fractional coordinates):
Pr 0.359 0.000 0.719
Pr 0.359 0.500 0.719
Pr 0.641 0.000 0.281
Pr 0.641 0.500 0.281
Ir 0.198 0.750 0.396
Ir 0.802 0.250 0.604
In 0.996 0.250 0.993
In 0.004 0.750 0.007

DOS at the Fermi energy	3.09	states/eV/f.u.
space group	Cmcm (63)
crystal system	orthorhombic

=====

Which structure is the most stable? The one labeled run 4.

=====

Run 1
# Pr3InIr

A relaxed Pr3InIr crystal (GGA-PBE, Alexandria).

abc: 4.708 6.447 10.755
angles: 90.00 90.00 68.58
Atoms (fractional coordinates):
Ir 0.000 0.000 0.250
Ir 0.000 0.000 0.750
Pr 0.643 0.714 0.294
Pr 0.357 0.286 0.794
Pr 0.077 0.846 0.000
Pr 0.923 0.154 0.500
Pr 0.643 0.714 0.706
Pr 0.357 0.286 0.206
In 0.225 0.549 0.500
In 0.775 0.451 0.000

DOS at the Fermi energy	5.01	states/eV/f.u.
space group	Cmcm (63)
crystal system	orthorhombic

=====

Run 2
# Pr3InIr

A relaxed Pr3InIr crystal (GGA-PBE, Alexandria).

abc: 4.523 8.041 9.351
angles: 73.37 76.01 73.67
Atoms (fractional coordinates):
In 0.573 0.286 0.568
In 0.427 0.714 0.432
Ir 0.771 0.371 0.087
Ir 0.229 0.629 0.913
Pr 0.165 0.976 0.694
Pr 0.596 0.756 0.051
Pr 0.139 0.437 0.286
Pr 0.861 0.563 0.714
Pr 0.404 0.244 0.949
Pr 0.835 0.024 0.306

DOS at the Fermi energy	5.62	states/eV/f.u.
space group	C2/m (12)
crystal system	monoclinic

=====

Run 3
# Pr3InIr

A relaxed Pr3InIr crystal (GGA-PBE, Alexandria).

abc: 5.574 5.574 5.574
angles: 90.00 90.00 90.00
Atoms (fractional coordinates):
In 0.500 0.500 0.500
Pr 0.000 0.500 0.000
Pr 0.500 0.000 0.000
Pr 0.000 0.000 0.500
Ir 0.000 0.000 0.000

DOS at the Fermi energy	6.48	states/eV/f.u.
space group	Pm-3m (221)
crystal system	cubic

=====

Which structure is the most stable? The one labeled run 1.

=====

Run 1
# Pr6InIr2

A relaxed Pr6InIr2 crystal (GGA-PBE, Alexandria).

abc: 8.875 8.875 8.875
angles: 104.19 110.85 113.51
Atoms (fractional coordinates):
In 0.000 0.500 0.500
In 0.000 0.000 0.000
Ir 0.500 0.633 0.133
Ir 0.670 0.000 0.670
Ir 0.330 0.000 0.330
Ir 0.500 0.367 0.867
Pr 0.310 0.978 0.668
Pr 0.472 0.293 0.180
Pr 0.798 0.235 0.033
Pr 0.310 0.642 0.332
Pr 0.528 0.707 0.820
Pr 0.798 0.765 0.563
Pr 0.690 0.358 0.668
Pr 0.113 0.293 0.820
Pr 0.202 0.235 0.437
Pr 0.887 0.707 0.180
Pr 0.202 0.765 0.967
Pr 0.690 0.022 0.332

DOS at the Fermi energy	7.39	states/eV/f.u.
space group	Immm (71)
crystal system	orthorhombic

=====

Run 2
# Pr6InIr2

A relaxed Pr6InIr2 crystal (GGA-PBE, Alexandria).

abc: 5.040 6.058 9.560
angles: 77.66 90.00 114.58
Atoms (fractional coordinates):
In 0.000 0.000 0.500
Pr 0.971 0.942 0.849
Pr 0.334 0.668 0.390
Pr 0.292 0.583 0.834
Pr 0.708 0.417 0.166
Pr 0.666 0.332 0.610
Pr 0.029 0.058 0.151
Ir 0.378 0.756 0.093
Ir 0.622 0.244 0.907

DOS at the Fermi energy	6.19	states/eV/f.u.
space group	C2/m (12)
crystal system	monoclinic

=====

Which structure is the most stable? The one labeled run 1.

=====

Run 1
# Pr4InIr

A relaxed Pr4InIr crystal (GGA-PBE, Alexandria).

abc: 10.061 10.061 10.061
angles: 60.00 60.00 60.00
Atoms (fractional coordinates):
Pr 0.402 0.795 0.402
Pr 0.942 0.558 0.942
Pr 0.942 0.942 0.558
Pr 0.190 0.810 0.810
Pr 0.402 0.402 0.402
Pr 0.795 0.402 0.402
Pr 0.558 0.558 0.942
Pr 0.190 0.190 0.810
Pr 0.810 0.190 0.810
Pr 0.810 0.190 0.190
Pr 0.810 0.810 0.190
Pr 0.558 0.942 0.942
Pr 0.558 0.942 0.558
Pr 0.942 0.558 0.558
Pr 0.402 0.402 0.795
Pr 0.190 0.810 0.190
In 0.169 0.169 0.493
In 0.493 0.169 0.169
In 0.169 0.493 0.169
In 0.169 0.169 0.169
Ir 0.609 0.609 0.609
Ir 0.609 0.174 0.609
Ir 0.174 0.609 0.609
Ir 0.609 0.609 0.174

DOS at the Fermi energy	5.00	states/eV/f.u.
space group	F-43m (216)
crystal system	cubic

=====

Run 2
# Pr4InIr

A relaxed Pr4InIr crystal (GGA-PBE, Alexandria).

abc: 6.207 9.163 8.276
angles: 114.70 100.06 111.22
Atoms (fractional coordinates):
Pr 0.620 0.064 0.351
Pr 0.738 0.357 0.152
Pr 0.768 0.712 0.649
Pr 0.232 0.288 0.351
Pr 0.087 0.205 0.848
Pr 0.380 0.936 0.649
Pr 0.913 0.795 0.152
Pr 0.262 0.643 0.848
In 0.628 0.378 0.757
In 0.372 0.622 0.243
Ir 0.748 0.998 0.996
Ir 0.252 0.002 0.004

DOS at the Fermi energy	6.84	states/eV/f.u.
space group	C2/c (15)
crystal system	monoclinic

=====

Which structure is the most stable? The one labeled run 1.

=====

Run 1
# In4IrPt

A relaxed In4IrPt crystal (GGA-PBE, Alexandria).

abc: 5.635 5.635 5.635
angles: 60.00 60.00 60.00
Atoms (fractional coordinates):
Ir 0.750 0.750 0.750
In 0.375 0.375 0.375
In 0.375 0.875 0.375
In 0.375 0.375 0.875
In 0.875 0.375 0.375
Pt 0.000 0.000 0.000

DOS at the Fermi energy	4.22	states/eV/f.u.
space group	F-43m (216)
crystal system	cubic

=====

Run 2
# In4IrPt

A relaxed In4IrPt crystal (GGA-PBE, Alexandria).

abc: 4.720 4.720 6.047
angles: 90.00 90.00 90.00
Atoms (fractional coordinates):
In 0.500 0.000 0.753
In 0.500 0.000 0.247
In 0.000 0.500 0.247
In 0.000 0.500 0.753
Ir 0.000 0.000 0.000
Pt 0.000 0.000 0.500

DOS at the Fermi energy	3.86	states/eV/f.u.
space group	P4/mmm (123)
crystal system	tetragonal

=====

Which structure is the most stable? The one labeled run 2.

=====

Run 1
# InIrPt

A relaxed InIrPt crystal (GGA-PBE, Alexandria).

abc: 4.392 4.392 4.392
angles: 60.00 60.00 60.00
Atoms (fractional coordinates):
Ir 0.750 0.750 0.750
In 0.500 0.500 0.500
Pt 0.000 0.000 0.000

DOS at the Fermi energy	6.24	states/eV/f.u.
space group	F-43m (216)
crystal system	cubic

=====

Run 2
# InIrPt

A relaxed InIrPt crystal (GGA-PBE, Alexandria).

abc: 6.202 6.202 2.928
angles: 76.34 76.34 27.31
Atoms (fractional coordinates):
Pt 0.670 0.670 0.330
In 0.997 0.997 0.003
Ir 0.333 0.333 0.667

DOS at the Fermi energy	2.05	states/eV/f.u.
space group	I4mm (107)
crystal system	tetragonal

=====

Which structure is the most stable? The one labeled run 2.

=====

Run 1
# InIrPt

A relaxed InIrPt crystal (GGA-PBE, Alexandria).

abc: 3.464 3.464 9.707
angles: 100.28 100.28 90.00
Atoms (fractional coordinates):
Pt 0.432 0.432 0.863
Pt 0.568 0.568 0.137
In 0.129 0.129 0.258
In 0.871 0.871 0.742
Ir 0.722 0.722 0.445
Ir 0.278 0.278 0.555

DOS at the Fermi energy	2.61	states/eV/f.u.
space group	I4/mmm (139)
crystal system	tetragonal

=====

Run 2
# InIrPt

A relaxed InIrPt crystal (GGA-PBE, Alexandria).

abc: 2.957 2.957 6.657
angles: 90.00 90.00 120.00
Atoms (fractional coordinates):
In 0.000 0.000 0.002
Ir 0.667 0.333 0.330
Pt 0.333 0.667 0.668

DOS at the Fermi energy	0.95	states/eV/f.u.
space group	P3m1 (156)
crystal system	trigonal

=====

Which structure is the most stable? The one labeled run 2.